Density functional theory data (GGA-PBE) for a relaxed Mn3Cu crystal.

Unit cell a=3.5317 b=3.5317 c=3.5317 alpha=90.00 beta=90.00 gamma=90.00
Closest atoms and distances in Å follow each position.
Positions (direct):
Mn (0.0000, 0.0000, 0.5000)  8 Mn 2.50, 4 Cu 2.50
Mn (0.0000, 0.5000, 0.0000)  8 Mn 2.50, 4 Cu 2.50
Mn (0.5000, 0.0000, 0.0000)  8 Mn 2.50, 4 Cu 2.50
Cu (0.5000, 0.5000, 0.5000)  12 Mn 2.50

Computed properties:
* raw total energy: -7.619 eV per atom
* ΔH_f (0 K): 0.282 eV per atom
* ρ: 8.61 g cm⁻³
* space group: No. 221